Computed, not measured: a relaxed structure of K3VO at the PBE+U level of DFT.

Lattice parameters (Å, degrees): 5.5020 5.5020 5.5020 90.00 90.00 90.00
Fractional positions:
K (0.0000, 0.0000, 0.5000)
K (0.0000, 0.5000, 0.0000)
K (0.5000, 0.0000, 0.0000)
V (0.5000, 0.5000, 0.5000)
O (0.0000, 0.0000, 0.0000)

## Properties
For the density of states at the Fermi level, the calculation gives 10.53 states/eV per cell. The energy above the most stable polymorph in this dataset comes out at 0 meV/atom. For the electronic total energy, the calculation gives -2.935 eV per atom. The calculation puts the magnetic moment at 3.991 μB per formula unit. The value obtained for the volume is 33.31 Å³ per atom.